# 1
Li5Fe5Si7O24: optimized geometry, GGA+U.

abc: 7.8246 7.9054 9.5392
angles: 88.78 89.66 89.38
With the nearest neighbours (Å) after each atom.
Space group P1 (No. 1)
Unique sites:
1 Li 0.0000 0.0000 0.0000 (multiplicity 1)  3 O 1.93-2.05
2 Li 0.0864 0.5802 0.7349 (multiplicity 1)  4 O 1.99-2.13
3 Li 0.2968 0.2524 0.2795 (multiplicity 1)  4 O 1.97-2.18
4 Li 0.4996 0.5027 0.2718 (multiplicity 1)  3 O 1.89-2.11
5 Li 0.7855 0.2357 0.9878 (multiplicity 1)  3 O 1.87-2.09
6 Fe 0.0969 0.1167 0.7310 (multiplicity 1)  4 O 1.86-1.93
7 Fe 0.3838 0.1758 0.0036 (multiplicity 1)  4 O 1.83-1.96
8 Fe 0.5965 0.3811 0.5344 (multiplicity 1)  4 O 1.84-1.96
9 Fe 0.8775 0.3187 0.2625 (multiplicity 1)  4 O 1.83-1.93
10 Fe 0.9587 0.6122 0.9992 (multiplicity 1)  4 O 1.83-1.94
11 Si 0.1337 0.8232 0.4730 (multiplicity 1)  4 O 1.61-1.66
12 Si 0.1771 0.4191 0.4965 (multiplicity 1)  4 O 1.63-1.67
13 Si 0.3720 0.5848 0.0160 (multiplicity 1)  4 O 1.62-1.67
14 Si 0.4363 0.8726 0.2510 (multiplicity 1)  4 O 1.62-1.65
15 Si 0.6572 0.6723 0.7805 (multiplicity 1)  4 O 1.60-1.66
16 Si 0.6806 0.0726 0.7644 (multiplicity 1)  4 O 1.61-1.66
17 Si 0.8380 0.9019 0.2431 (multiplicity 1)  4 O 1.63-1.65
18 O 0.0794 0.3291 0.3677 (multiplicity 1)  1 Si 1.63
19 O 0.1249 0.6208 0.5226 (multiplicity 1)  2 Si 1.66-1.67
20 O 0.1293 0.9363 0.6109 (multiplicity 1)  1 Si 1.61
21 O 0.1360 0.3372 0.6516 (multiplicity 1)  1 Si 1.63
22 O 0.1932 0.6161 0.9329 (multiplicity 1)  1 Si 1.63
23 O 0.1989 0.0956 0.9094 (multiplicity 1)  2 Fe 1.83-1.89, 1 Li 1.93
24 O 0.3162 0.8497 0.3902 (multiplicity 1)  2 Si 1.63-1.64
25 O 0.3747 0.3966 0.4413 (multiplicity 1)  1 Si 1.64
26 O 0.3810 0.3958 0.0943 (multiplicity 1)  1 Si 1.66
27 O 0.3887 0.0550 0.1802 (multiplicity 1)  1 Si 1.62
28 O 0.3936 0.7073 0.1547 (multiplicity 1)  2 Si 1.65-1.67
29 O 0.5392 0.6152 0.9177 (multiplicity 1)  2 Si 1.62-1.66
30 O 0.5797 0.1647 0.8951 (multiplicity 1)  1 Si 1.65, 1 Fe 1.85
31 O 0.5993 0.5676 0.6469 (multiplicity 1)  1 Si 1.60
32 O 0.6257 0.8753 0.7537 (multiplicity 1)  2 Si 1.63-1.64
33 O 0.6404 0.8539 0.2891 (multiplicity 1)  2 Si 1.64-1.65
34 O 0.6508 0.1720 0.6168 (multiplicity 1)  1 Si 1.61
35 O 0.7004 0.4183 0.3579 (multiplicity 1)  2 Fe 1.83-1.88, 1 Li 1.89
36 O 0.8487 0.0977 0.1851 (multiplicity 1)  1 Si 1.64
37 O 0.8588 0.6340 0.8185 (multiplicity 1)  1 Si 1.64
38 O 0.8784 0.0904 0.8229 (multiplicity 1)  1 Si 1.66
39 O 0.8947 0.4109 0.0797 (multiplicity 1)  2 Fe 1.83-1.88, 1 Li 1.87
40 O 0.9092 0.8012 0.1067 (multiplicity 1)  1 Si 1.63
41 O 0.9670 0.8645 0.3747 (multiplicity 1)  2 Si 1.64

Properties
Total magnetization: 0.610 μB per atom
Electronic total energy: -286.36 eV/cell

=====

# 2
VZnPb2O6: optimized geometry, GGA+U.

abc: 5.5723 5.6542 9.6692
angles: 90.00 125.16 90.00
With the nearest neighbours (Å) after each atom.
Space group P2_1/c (No. 14)
Unique sites:
1 V 0.0000 0.0000 0.0000 (multiplicity 2)  6 O 1.92
2 Zn 0.5000 0.0000 0.5000 (multiplicity 2)  6 O 2.13-2.16
3 Pb 0.2438 0.0391 0.7503 (multiplicity 4)  4 O 2.42-2.53
4 O 0.1503 0.2238 0.4584 (multiplicity 4)  1 V 1.92
5 O 0.2382 0.6954 0.4619 (multiplicity 4)  1 V 1.92, 1 Zn 2.15
6 O 0.3142 0.0222 0.2363 (multiplicity 4)  1 V 1.92, 1 Zn 2.13

Properties
Total magnetization: 0.000 μB per atom
Electronic total energy: -118.26 eV/cell

=====

> Number 2 is which compound?

VZnPb2O6